An optimized crystal structure of NpPaAu, computed with PBE-GGA.

a = 4.741 Å, b = 4.741 Å, c = 4.741 Å
α = 60.00°, β = 60.00°, γ = 60.00°
Fractional positions:
Np 0.750 0.750 0.750
Pa 0.000 0.000 0.000
Au 0.250 0.250 0.250

E_tot   -8.218 eV per atom
ΔH_f (0 K)   0.2927 eV/atom
Theoretical density   14.65 Mg/m³



An optimized crystal structure of PmNpAu, computed with PBE-GGA.

a = 4.882 Å, b = 4.882 Å, c = 4.882 Å
α = 60.00°, β = 60.00°, γ = 60.00°
Last column: magnetic moment on the atom in μB.
Fractional positions:
Np 0.750 0.750 0.750  4.12
Au 0.250 0.250 0.250  0.00
Pm 0.000 0.000 0.000  0.20

E_tot   -6.420 eV per atom
ΔH_f (0 K)   0.5077 eV/atom
Theoretical density   11.69 Mg/m³



An optimized crystal structure of RbNpTe3Au, computed with PBE-GGA.

a = 8.464 Å, b = 8.464 Å, c = 11.436 Å
α = 90.00°, β = 90.00°, γ = 149.48°
Last column: magnetic moment on the atom in μB.
Fractional positions:
Te 0.372 0.628 0.455  -0.12
Te 0.628 0.372 0.545  -0.12
Te 0.931 0.069 0.750  -0.12
Te 0.372 0.628 0.045  -0.12
Te 0.628 0.372 0.955  -0.12
Te 0.069 0.931 0.250  -0.12
Au 0.461 0.539 0.250  -0.08
Au 0.539 0.461 0.750  -0.08
Np 0.000 0.000 0.500  3.56
Np 0.000 0.000 0.000  3.57
Rb 0.755 0.245 0.250  -0.01
Rb 0.245 0.755 0.750  -0.01

E_tot   -5.131 eV per atom
Theoretical density   7.20 Mg/m³



An optimized crystal structure of NpReAu, computed with PBE-GGA.

a = 4.539 Å, b = 4.539 Å, c = 4.539 Å
α = 60.00°, β = 60.00°, γ = 60.00°
Fractional positions:
Au 0.000 0.000 0.000
Re 0.250 0.250 0.250
Np 0.500 0.500 0.500

E_tot   -8.572 eV per atom
ΔH_f (0 K)   0.9141 eV/atom
Theoretical density   15.58 Mg/m³



- Among the records above, which one has the lowest E_tot?
  NpReAu



- Which value of theoretical density does entry 4 give?
  15.58 Mg/m³



- What is the theoretical density in the second record?
  11.69 Mg/m³



Please write out number 4 again, unchanged.
An optimized crystal structure of NpReAu, computed with PBE-GGA.

a = 4.539 Å, b = 4.539 Å, c = 4.539 Å
α = 60.00°, β = 60.00°, γ = 60.00°
Fractional positions:
Au 0.000 0.000 0.000
Re 0.250 0.250 0.250
Np 0.500 0.500 0.500

E_tot   -8.572 eV per atom
ΔH_f (0 K)   0.9141 eV/atom
Theoretical density   15.58 Mg/m³